Record 1
## ErAsPdO (PBE)

Data for a relaxed structure of ErAsPdO.

Cell: 4.067 4.067 7.990 Å, 90.00 90.00 90.00°
Space group P4/nmm (No. 129, origin choice 2)
One atom of each set of equivalent atoms:
Er 0.250 0.250 0.126 (multiplicity 2)
As 0.250 0.250 0.681 (multiplicity 2)
Pd 0.250 0.750 0.500 (multiplicity 2)
O 0.250 0.750 0.000 (multiplicity 2)

Values from the calculation:
Total magnetization   0.003 μB/cell
Volume   66 Å³/f.u.
Energy relative to the lowest polymorph listed for this composition   0 meV per atom

Record 2
## RbAlTlAu (PBE)

Data for a relaxed structure of RbAlTlAu.

Cell: 7.573 7.573 7.573 Å, 90.00 90.00 90.00°
Space group F-43m (No. 216)
One atom of each set of equivalent atoms:
Rb 0.000 0.000 0.000 (multiplicity 4)
Al 0.000 0.000 0.500 (multiplicity 4)
Tl 0.250 0.250 0.250 (multiplicity 4)
Au 0.250 0.250 0.750 (multiplicity 4)

Values from the calculation:
Volume   109 Å³/f.u.
Energy relative to the lowest polymorph listed for this composition   0 meV per atom

Question: Among the records above, which one has the highest volume?
Answer: RbAlTlAu

Please write out number 2 again, unchanged.
## RbAlTlAu (PBE)

Data for a relaxed structure of RbAlTlAu.

Cell: 7.573 7.573 7.573 Å, 90.00 90.00 90.00°
Space group F-43m (No. 216)
One atom of each set of equivalent atoms:
Rb 0.000 0.000 0.000 (multiplicity 4)
Al 0.000 0.000 0.500 (multiplicity 4)
Tl 0.250 0.250 0.250 (multiplicity 4)
Au 0.250 0.250 0.750 (multiplicity 4)

Values from the calculation:
Volume   109 Å³/f.u.
Energy relative to the lowest polymorph listed for this composition   0 meV per atom

Question: What is the volume in the first record?
Answer: 66 Å³/f.u.